No. 1
Compound: ZrFeW2
Source: Alexandria
Functional: SCAN
Structure: single point on PBEsol structure

Results
DFT formation energy = 0.451 eV per atom
ΔE to the lowest computed polymorph = 328 meV/atom
theoretical density = 14.03 g/cm³
calculated total energy = -186.40 eV per cell
SG = No. 225

Lattice parameters (Å, degrees): 4.417 4.417 4.417 60.00 60.00 60.00
Positions (direct):
Zr: 0.000 0.000 0.000
Fe: 0.500 0.500 0.500
W: 0.250 0.250 0.250
W: 0.750 0.750 0.750

---

No. 2
Compound: ZrFeW2
Source: Alexandria
Functional: SCAN
Structure: single point on PBEsol structure

Results
DFT formation energy = 0.123 eV per atom
ΔE to the lowest computed polymorph = 0 meV/atom
theoretical density = 13.89 g/cm³
calculated total energy = -187.71 eV per cell
SG = No. 216

Lattice parameters (Å, degrees): 4.431 4.431 4.431 60.00 60.00 60.00
Positions (direct):
Zr: 0.000 0.000 0.000
Fe: 0.250 0.250 0.250
W: 0.500 0.500 0.500
W: 0.750 0.750 0.750

---

No. 3
Compound: ZrFeW2
Source: Alexandria
Functional: SCAN
Structure: single point on PBEsol structure

Results
DFT formation energy = 0.345 eV per atom
ΔE to the lowest computed polymorph = 222 meV/atom
theoretical density = 13.79 g/cm³
calculated total energy = -186.82 eV per cell
SG = No. 123

Lattice parameters (Å, degrees): 2.751 2.751 8.192 90.00 90.00 90.00
Positions (direct):
Zr: 0.000 0.000 0.000
Fe: 0.000 0.000 0.500
W: 0.500 0.500 0.294
W: 0.500 0.500 0.706

---

No. 4
Compound: YFe
Source: Alexandria
Functional: SCAN
Structure: single point on PBEsol structure

Results
DFT formation energy = 0.563 eV per atom
theoretical density = 5.73 g/cm³
calculated total energy = -44.85 eV per cell
SG = No. 225

Lattice parameters (Å, degrees): 3.900 3.900 3.900 60.00 60.00 60.00
Positions (direct):
Y: 0.000 0.000 0.000
Fe: 0.500 0.500 0.500

---

No. 5
Compound: Y2Fe
Source: Alexandria
Functional: SCAN
Structure: single point on PBEsol structure

Results
DFT formation energy = 0.283 eV per atom
theoretical density = 5.43 g/cm³
calculated total energy = -145.93 eV per cell
SG = No. 58

Lattice parameters (Å, degrees): 6.422 6.499 3.426 90.00 90.00 90.00
Positions (direct):
Y: 0.230 0.175 0.000
Y: 0.270 0.675 0.500
Y: 0.730 0.325 0.500
Y: 0.770 0.825 0.000
Fe: 0.000 0.500 0.000
Fe: 0.500 0.000 0.500

---

No. 6
Compound: YFe3
Source: Alexandria
Functional: SCAN
Structure: single point on PBEsol structure

Results
DFT formation energy = 0.141 eV per atom
theoretical density = 6.69 g/cm³
calculated total energy = -81.67 eV per cell
SG = No. 166

Lattice parameters (Å, degrees): 5.276 5.276 5.276 43.73 43.73 43.73
Positions (direct):
Y: 0.000 0.000 0.000
Fe: 0.194 0.194 0.194
Fe: 0.500 0.500 0.500
Fe: 0.806 0.806 0.806